(P)
First-principles (PBEsol) data for crystalline AlMo2Ir at its relaxed geometry, as listed in Alexandria via LeMat-Bulk.

## Properties
Size of the total moment in μB per cell: 0.0

abc: 4.6412 4.6412 2.7473
angles: 90.00 90.00 90.00
Last column: nearest neighbours and their distance in Å.
Space group P4/mmm (No. 123)
Asymmetric unit:
Al1 0.0000 0.0000 0.0000  8 Mo 2.70, 2 Al 2.75
Mo1 0.0000 0.5000 0.5000  4 Al 2.70, 4 Ir 2.70, 2 Mo 2.75
Ir1 0.5000 0.5000 0.0000  8 Mo 2.70, 2 Ir 2.75


(Q)
First-principles (PBEsol) data for crystalline AlMo2Ir at its relaxed geometry, as listed in Alexandria via LeMat-Bulk.

## Properties
Size of the total moment in μB per cell: 0.0

abc: 3.2903 4.0388 8.7156
angles: 90.00 90.00 90.00
Last column: nearest neighbours and their distance in Å.
Space group Immm (No. 71)
Asymmetric unit:
Al1 0.0000 0.0000 0.0000  4 Ir 2.60, 4 Mo 2.73
Mo1 0.0000 0.5000 0.2503  4 Mo 2.60, 2 Al 2.73, 2 Ir 2.73
Ir1 0.0000 0.0000 0.5000  4 Al 2.60, 4 Mo 2.73


Calculated relative energies: (P) 0.351; (Q) 0.000, given in eV/atom